[1]
The following is a DFT calculation (PBE-GGA) of crystalline NaAgTe2PtS at its relaxed geometry.

Electronic total energy ... -3.70 eV/atom
Space-group type ... No. 63
Magnetic moment ... 0.00 μB per formula unit
V ... 285 Å³/cell

Geometry as POSCAR:
```
NaAgTe2PtS
1.0
2.050 -6.345 0.000
2.050 6.345 0.000
0.000 0.000 10.959
Na Ag Te Pt S
2 2 4 2 2
Cartesian
2.050 3.431 8.219
2.050 -3.431 2.740
2.050 5.499 2.740
2.050 -5.499 8.219
2.050 4.590 0.181
2.050 4.590 5.298
2.050 -4.590 5.660
2.050 -4.590 10.778
2.050 0.000 0.000
2.050 0.000 5.479
2.050 0.691 2.740
2.050 -0.691 8.219
```

---

[2]
The following is a DFT calculation (PBE-GGA) of crystalline NaAgTePtS2 at its relaxed geometry.

Electronic total energy ... -3.91 eV/atom
Space-group type ... No. 63
Magnetic moment ... 0.01 μB per formula unit
V ... 287 Å³/cell

Geometry as POSCAR:
```
NaAgTePtS2
1.0
1.775 -7.481 0.000
1.775 7.481 0.000
0.000 0.000 10.801
Na Ag Te Pt S
2 2 2 2 4
Cartesian
1.775 4.051 8.101
1.775 -4.051 2.700
1.775 5.872 2.700
1.775 -5.872 8.101
1.775 0.874 2.700
1.775 -0.874 8.101
1.775 0.000 0.000
1.775 0.000 5.401
1.775 5.871 0.274
1.775 5.871 5.126
1.775 -5.871 5.675
1.775 -5.871 10.527
```

---

> magnetic moment of number 1 (NaAgTe2PtS)?

0.00 μB per formula unit